Here is a relaxed structure of Te3MoSe from Alexandria via LeMat-Bulk. Energies are from PBE.

```
Te3MoSe
1.0
5.238 0.000 0.000
0.000 5.238 0.000
0.000 0.000 5.238
Te Mo Se
3 1 1
direct
0.000 0.000 0.500
0.000 0.500 0.000
0.500 0.000 0.000
0.000 0.000 0.000
0.500 0.500 0.500
```

Calculated values
Uncorrected formation energy   0.50 eV per atom
Density of states at the Fermi level   4.99 states/eV/f.u.
DFT total energy   -4.25 eV/atom
Spin magnetization   0.00 μB per atom
Crystal system   cubic
Offset from the most stable computed form   0.0000 eV per atom